The following is a DFT calculation (PBE) of an optimized crystal structure of KHg2PbAu.

a = 7.2585 Å, b = 7.2585 Å, c = 7.2585 Å
α = 141.67°, β = 140.15°, γ = 56.49°
With the nearest neighbours (Å) after each atom.
Fractional positions:
1 K 0.0000 0.0000 0.0000  6 Hg 3.70-3.83, 4 Au 3.71, 4 Pb 3.94-4.09
2 Hg 0.6082 0.6082 0.0000  1 Au 2.78
3 Hg 0.7652 0.2652 0.5000  2 Au 2.95, 2 Hg 3.12
4 Pb 0.2601 0.7601 0.5000  2 Au 2.91, 2 Hg 3.15
5 Au 0.3906 0.3906 0.0000  3 Hg 2.78-2.95, 2 Pb 2.91

Computed properties:
Calculated volume ... 151 Å³/cell
E_tot ... -1.916 eV per atom
Crystal system ... orthorhombic
ΔE_f ... -0.179 eV/atom
Offset from the most stable computed form ... 0.0000 eV per atom
Space-group type ... No. 44

***

The following is a DFT calculation (PBE) of an optimized crystal structure of CrSbIr2.

a = 4.6560 Å, b = 4.6560 Å, c = 3.0333 Å
α = 90.00°, β = 90.00°, γ = 103.55°
With the nearest neighbours (Å) after each atom.
Fractional positions:
1 Cr 0.0000 0.0000 0.0000  8 Ir 2.78, 2 Sb 2.88, 2 Cr 3.03
2 Sb 0.5000 0.5000 0.0000  8 Ir 2.78, 2 Cr 2.88, 2 Sb 3.03
3 Ir 0.0000 0.5000 0.5000  4 Cr 2.78, 4 Sb 2.78, 4 Ir 2.88-3.03
4 Ir 0.5000 0.0000 0.5000  4 Cr 2.78, 4 Sb 2.78, 4 Ir 2.88-3.03

Computed properties:
Calculated volume ... 64 Å³/cell
E_tot ... -7.755 eV per atom
Crystal system ... orthorhombic
Space-group type ... No. 65